TePd3, optimized geometry, DFT GGA-PBE; distance to the lowest polymorph of the same formula = 73.8 meV per atom; uncorrected formation energy = -0.162 eV/atom; total magnetic moment = 0.00 μB per atom; calculated total energy = -4.8421 eV/atom
1.0
4.4627 0.0000 0.0000
0.0000 3.3404 0.0000
0.0000 0.0000 4.6741
Pd Te
3 1
direct
0.5000 0.0000 0.6494
0.0000 0.5000 0.5178
0.5000 0.5000 0.1479
0.0000 0.0000 0.0182

***

MnFe2Br, optimized geometry, DFT GGA-PBE; distance to the lowest polymorph of the same formula = 235.3 meV per atom; uncorrected formation energy = 0.588 eV/atom; total magnetic moment = 2.34 μB per atom; calculated total energy = -6.3539 eV/atom
1.0
-0.1657 -6.1443 0.6439
2.7977 -3.6925 4.0905
-3.6891 4.7680 -1.3604
Br Mn Fe
1 1 2
direct
0.8082 0.3082 0.5000
0.5367 0.5367 0.0000
0.1605 0.6605 0.5000
0.9946 0.9946 0.0000

***

SiIr2Rh, optimized geometry, DFT GGA-PBE; uncorrected formation energy = -0.264 eV/atom; total magnetic moment = 0.00 μB per atom; calculated total energy = -7.8883 eV/atom
1.0
-4.7637 -2.1170 0.7507
-0.7093 -4.0767 3.2582
1.5599 4.9817 -0.6989
Ir Rh Si
2 1 1
direct
0.7523 0.2523 0.5000
0.0400 0.0400 0.0000
0.4580 0.4580 0.0000
0.2496 0.7496 0.5000

***

Tb2PmPrSe6, optimized geometry, DFT GGA-PBE; uncorrected formation energy = -1.848 eV/atom; total magnetic moment = 0.00 μB per atom; calculated total energy = -5.8175 eV/atom
1.0
-7.2997 0.1390 1.0175
-3.3480 -5.5877 3.4507
-2.6925 1.2128 7.2270
Tb Se Pr Pm
2 6 1 1
direct
0.5134 0.5133 0.4600
0.0148 0.0148 0.9556
0.8978 0.6287 0.2468
0.6287 0.2267 0.2468
0.4048 0.7270 0.7465
0.1216 0.4049 0.7466
0.2267 0.8977 0.2468
0.7270 0.1216 0.7466
0.3123 0.3122 0.0632
0.8146 0.8146 0.5562

***

DyScPb, optimized geometry, DFT GGA-PBE; distance to the lowest polymorph of the same formula = 218.2 meV per atom; total magnetic moment = 0.00 μB per atom; calculated total energy = -5.1131 eV/atom
1.0
-3.5158 1.1987 -0.7894
-1.1900 -0.2884 4.8624
1.8724 4.2570 -1.8747
Sc Pb Dy
1 1 1
direct
0.8325 0.0000 0.0000
0.8346 0.6667 0.3333
0.3329 0.3333 0.6667

***

AcPm15Sm4, optimized geometry, DFT GGA-PBE; total magnetic moment = 0.00 μB per atom; calculated total energy = -4.6924 eV/atom
1.0
-4.0662 0.5261 -3.1681
-2.0586 -4.3503 1.9197
-12.3202 13.8207 18.1076
Pm Sm Ac
15 4 1
direct
0.5000 0.0000 0.5000
0.0000 0.5000 0.1040
0.5000 0.0000 0.3019
0.0000 0.5000 0.8960
0.5000 0.5000 0.2033
0.5000 0.5000 0.4010
0.5000 0.0000 0.6981
0.5000 0.0000 0.8960
0.5000 0.5000 0.7967
0.0000 0.5000 0.5000
0.0000 0.5000 0.3019
0.5000 0.5000 0.0000
0.5000 0.0000 0.1040
0.5000 0.5000 0.5990
0.0000 0.5000 0.6981
0.0000 0.0000 0.5990
0.0000 0.0000 0.7976
0.0000 0.0000 0.2024
0.0000 0.0000 0.4010
0.0000 0.0000 0.0000

***

> The lowest calculated total energy belongs to which entry?

SiIr2Rh

***

> What is the formula in the sixth record?

AcPm15Sm4